#A
# LaZr2I, relaxed, DFT GGA-PBE
data_LaZr2I
_cell_length_a 7.339
_cell_length_b 7.339
_cell_length_c 7.339
_cell_angle_alpha 90.00
_cell_angle_beta 90.00
_cell_angle_gamma 90.00
_symmetry_space_group_name_H-M 'F m -3 m'
_symmetry_Int_Tables_number 225
_symmetry_space_group_name_Hall '-F 4 2 3'
loop_
_atom_site_label
_atom_site_type_symbol
_atom_site_fract_x
_atom_site_fract_y
_atom_site_fract_z
La1 La 0.000 0.000 0.000
Zr1 Zr 0.250 0.250 0.250
I1 I 0.000 0.000 0.500
# Density   7.5 Mg/m³
# Calculated volume   24.71 Å³/atom


#B
# LaZr2I, relaxed, DFT GGA-PBE
data_LaZr2I
_cell_length_a 8.791
_cell_length_b 8.791
_cell_length_c 6.127
_cell_angle_alpha 90.00
_cell_angle_beta 90.00
_cell_angle_gamma 90.00
_symmetry_space_group_name_H-M 'I -4 2 d'
_symmetry_Int_Tables_number 122
_symmetry_space_group_name_Hall 'I -4 2bw'
loop_
_atom_site_label
_atom_site_type_symbol
_atom_site_fract_x
_atom_site_fract_y
_atom_site_fract_z
La1 La 0.000 0.000 0.000
Zr1 Zr 0.190 0.250 0.625
I1 I 0.000 0.000 0.500
# Density   6.3 Mg/m³
# Calculated volume   29.59 Å³/atom


Which is most stable, and by how much? #B, by 7.7 kJ/mol of atoms.


#A
# LaZr3I, relaxed, DFT GGA-PBE
data_LaZr3I
_cell_length_a 5.259
_cell_length_b 5.259
_cell_length_c 5.259
_cell_angle_alpha 90.00
_cell_angle_beta 90.00
_cell_angle_gamma 90.00
_symmetry_space_group_name_H-M 'P m -3 m'
_symmetry_Int_Tables_number 221
_symmetry_space_group_name_Hall '-P 4 2 3'
loop_
_atom_site_label
_atom_site_type_symbol
_atom_site_fract_x
_atom_site_fract_y
_atom_site_fract_z
La1 La 0.000 0.000 0.000
Zr1 Zr 0.000 0.000 0.500
I1 I 0.500 0.500 0.500
# Density   6.2 Mg/m³
# Calculated volume   29.10 Å³/atom


#B
# LaZr3I, relaxed, DFT GGA-PBE
data_LaZr3I
_cell_length_a 5.356
_cell_length_b 5.356
_cell_length_c 5.356
_cell_angle_alpha 90.00
_cell_angle_beta 90.00
_cell_angle_gamma 90.00
_symmetry_space_group_name_H-M 'P m -3 m'
_symmetry_Int_Tables_number 221
_symmetry_space_group_name_Hall '-P 4 2 3'
loop_
_atom_site_label
_atom_site_type_symbol
_atom_site_fract_x
_atom_site_fract_y
_atom_site_fract_z
La1 La 0.000 0.000 0.000
Zr1 Zr 0.000 0.500 0.500
I1 I 0.500 0.500 0.500
# Density   5.8 Mg/m³
# Calculated volume   30.73 Å³/atom


Which is most stable, and by how much? #B, by 67.3 kJ/mol of atoms.